First-principles (PBE-GGA) data for CeYGa4 after structural relaxation, as listed in the Alexandria database.

Cell: 5.563 5.563 5.563 Å, 60.00 60.00 60.00°
Fractional coordinates of all 6 atoms:
Ce: 0.000 0.000 0.000
Y: 0.250 0.250 0.250
Ga: 0.124 0.625 0.625
Ga: 0.625 0.124 0.625
Ga: 0.625 0.625 0.124
Ga: 0.625 0.625 0.625

Properties
- ΔE_f: -3.126 eV/f.u.
- DOS(E_F): 7.37 states/eV/f.u.
- SG: F-43m, No. 216
- Total magnetic moment: 0.1410 μB per atom
- Distance to the lowest polymorph of the same formula: 101.1 meV per atom